Compound: SrB3Pt
Source: Alexandria via LeMat-Bulk
Functional: meta-GGA SCAN
Structure: single point on PBEsol structure

a b c (Å): 4.1909 4.1909 4.1909
angles (deg): 90.00 90.00 90.00
Closest atoms and distances in Å follow each position.
Positions (direct):
Sr1 0.5000 0.5000 0.5000  12 B 2.96
B1 0.0000 0.5000 0.0000  2 Pt 2.10
B2 0.0000 0.0000 0.5000  2 Pt 2.10
B3 0.5000 0.0000 0.0000  2 Pt 2.10
Pt1 0.0000 0.0000 0.0000  6 B 2.10

Summary:
Crystal system: cubic
E_form in eV/atom: 0.61
ρ in Mg/m³: 7.11
Magnetization in μB per atom: 0.246